# 1
Entry from the Alexandria database: a relaxed Tb6Pr3Dy2Mg crystal (PBE-GGA).

The calculation puts the formation energy at 0.4 eV per formula unit.

Cell: 6.206 6.206 11.807 Å, 95.06 95.06 120.06°
Element x y z (fractional)
Tb: 0.080 0.412 0.244
Tb: 0.252 0.252 0.755
Tb: 0.412 0.080 0.244
Tb: 0.588 0.920 0.756
Tb: 0.748 0.748 0.245
Tb: 0.920 0.588 0.756
Pr: 0.166 0.834 0.500
Pr: 0.500 0.500 0.500
Pr: 0.834 0.166 0.500
Dy: 0.334 0.666 0.000
Dy: 0.666 0.334 0.000
Mg: 0.000 0.000 0.000



# 2
Entry from the Alexandria database: a relaxed CuSiHg crystal (PBE-GGA).

The uncorrected formation energy is 0.320 eV per atom. The calculation puts the energy above the lowest structure with this stoichiometry at 0 meV per atom.

Cell: 6.164 6.164 6.164 Å, 151.81 151.81 40.29°
Element x y z (fractional)
Cu: 0.000 0.000 0.000
Si: 0.387 0.387 0.000
Hg: 0.679 0.679 0.000



# 3
Entry from the Alexandria database: a relaxed InSi2P crystal (PBE-GGA).

The uncorrected formation energy is 0.377 eV per atom. The calculation puts the energy above the lowest structure with this stoichiometry at 255 meV per atom.

Cell: 5.651 5.539 3.869 Å, 71.34 68.23 40.44°
Element x y z (fractional)
In: 0.000 0.000 0.000
Si: 0.000 0.500 0.500
Si: 0.500 0.000 0.000
P: 0.500 0.500 0.500